1.
First-principles (PBE) data for an optimized crystal structure of BePtW2, as listed in Alexandria via LeMat-Bulk.

CIF file:
```
data_BePtW2
_chemical_formula_sum 'Be2 Pt2 W4'
_space_group_name_H-M_alt 'I -4 m 2'
_space_group_IT_number 119
_space_group_name_Hall 'I -4 -2'
_cell_length_a 3.8567
_cell_length_b 3.8567
_cell_length_c 7.8502
_cell_angle_alpha 90.00
_cell_angle_beta 90.00
_cell_angle_gamma 90.00
loop_
_atom_site_label
_atom_site_fract_x
_atom_site_fract_y
_atom_site_fract_z
Be1 0.0000 0.0000 0.0000
Pt1 0.0000 0.5000 0.7500
W1 0.0000 0.0000 0.5000
W2 0.0000 0.5000 0.2500
```

Raw total energy = -70.5 eV per cell
Spin magnetization = 0.00 μB/cell
Calculated density = 16262 kg/m³
Volume = 58.4 Å³/f.u.


2.
First-principles (PBE) data for an optimized crystal structure of YBePt2W, as listed in Alexandria via LeMat-Bulk.

CIF file:
```
data_YBePt2W
_chemical_formula_sum 'Y1 Be1 Pt2 W1'
_space_group_name_H-M_alt 'P 4/m m m'
_space_group_IT_number 123
_space_group_name_Hall '-P 4 2'
_cell_length_a 4.2049
_cell_length_b 4.2049
_cell_length_c 4.7891
_cell_angle_alpha 90.00
_cell_angle_beta 90.00
_cell_angle_gamma 90.00
loop_
_atom_site_label
_atom_site_fract_x
_atom_site_fract_y
_atom_site_fract_z
Y1 0.0000 0.0000 0.0000
Be1 0.0000 0.0000 0.5000
Pt1 0.0000 0.5000 0.5000
W1 0.5000 0.5000 0.0000
```

Raw total energy = -33.8 eV per cell
Spin magnetization = 0.00 μB/cell
Calculated density = 13176 kg/m³
Volume = 84.7 Å³/f.u.


3.
First-principles (PBE) data for an optimized crystal structure of YBePt2, as listed in Alexandria via LeMat-Bulk.

CIF file:
```
data_YBePt2
_chemical_formula_sum 'Y2 Be2 Pt4'
_space_group_name_H-M_alt 'I 4/m m m'
_space_group_IT_number 139
_space_group_name_Hall '-I 4 2'
_cell_length_a 4.1901
_cell_length_b 4.1901
_cell_length_c 7.6904
_cell_angle_alpha 90.00
_cell_angle_beta 90.00
_cell_angle_gamma 90.00
loop_
_atom_site_label
_atom_site_fract_x
_atom_site_fract_y
_atom_site_fract_z
Y1 0.0000 0.0000 0.0000
Be1 0.0000 0.0000 0.5000
Pt1 0.0000 0.5000 0.2500
```

Raw total energy = -49.9 eV per cell
Spin magnetization = 0.00 μB/cell
Calculated density = 12005 kg/m³
Volume = 67.5 Å³/f.u.


4.
First-principles (PBE) data for an optimized crystal structure of YBePt, as listed in Alexandria via LeMat-Bulk.

CIF file:
```
data_YBePt
_chemical_formula_sum 'Y4 Be4 Pt4'
_space_group_name_H-M_alt 'F -4 3 m'
_space_group_IT_number 216
_space_group_name_Hall 'F -4 2 3'
_cell_length_a 6.3336
_cell_length_b 6.3336
_cell_length_c 6.3336
_cell_angle_alpha 90.00
_cell_angle_beta 90.00
_cell_angle_gamma 90.00
loop_
_atom_site_label
_atom_site_fract_x
_atom_site_fract_y
_atom_site_fract_z
Y1 0.0000 0.0000 0.0000
Be1 0.0000 0.0000 0.5000
Pt1 0.2500 0.2500 0.7500
```

Relative energy among the computed polymorphs = 0.429 eV per atom
Raw total energy = -70.1 eV per cell
Spin magnetization = 0.00 μB/cell
Calculated density = 7660 kg/m³
Volume = 63.5 Å³/f.u.


5.
First-principles (PBE) data for an optimized crystal structure of YBe4Pt4, as listed in Alexandria via LeMat-Bulk.

CIF file:
```
data_YBe4Pt4
_chemical_formula_sum 'Y2 Be8 Pt8'
_space_group_name_H-M_alt 'P 42/n'
_space_group_IT_number 86
_cell_length_a 7.6593
_cell_length_b 7.6593
_cell_length_c 4.4855
_cell_angle_alpha 90.00
_cell_angle_beta 90.00
_cell_angle_gamma 90.00
loop_
_space_group_symop_operation_xyz
'x,y,z'
'-x,-y,-z'
'-y,x+1/2,z+1/2'
'y,-x+1/2,-z+1/2'
'-x+1/2,-y+1/2,z'
'x+1/2,y+1/2,-z'
'y+1/2,-x,z+1/2'
'-y+1/2,x,-z+1/2'
loop_
_atom_site_label
_atom_site_fract_x
_atom_site_fract_y
_atom_site_fract_z
Y1 0.2500 0.2500 0.2500
Be1 0.0607 0.9093 0.1512
Pt1 0.1153 0.8834 0.6471
```

Raw total energy = -104.4 eV per cell
Spin magnetization = 0.00 μB/cell
Calculated density = 11425 kg/m³
Volume = 131.6 Å³/f.u.


6.
First-principles (PBE) data for an optimized crystal structure of YBePt2, as listed in Alexandria via LeMat-Bulk.

CIF file:
```
data_YBePt2
_chemical_formula_sum 'Y2 Be2 Pt4'
_space_group_name_H-M_alt 'I -4 m 2'
_space_group_IT_number 119
_space_group_name_Hall 'I -4 -2'
_cell_length_a 3.9434
_cell_length_b 3.9434
_cell_length_c 8.6557
_cell_angle_alpha 90.00
_cell_angle_beta 90.00
_cell_angle_gamma 90.00
loop_
_atom_site_label
_atom_site_fract_x
_atom_site_fract_y
_atom_site_fract_z
Y1 0.0000 0.0000 0.0000
Be1 0.0000 0.5000 0.7500
Pt1 0.0000 0.0000 0.5000
Pt2 0.0000 0.5000 0.2500
```

Raw total energy = -49.8 eV per cell
Spin magnetization = 0.00 μB/cell
Calculated density = 12043 kg/m³
Volume = 67.3 Å³/f.u.


7.
First-principles (PBE) data for an optimized crystal structure of YBePt2, as listed in Alexandria via LeMat-Bulk.

CIF file:
```
data_YBePt2
_chemical_formula_sum 'Y2 Be2 Pt4'
_space_group_name_H-M_alt 'I m m m'
_space_group_IT_number 71
_space_group_name_Hall '-I 2 2'
_cell_length_a 3.7202
_cell_length_b 5.0586
_cell_length_c 7.4170
_cell_angle_alpha 90.00
_cell_angle_beta 90.00
_cell_angle_gamma 90.00
loop_
_atom_site_label
_atom_site_fract_x
_atom_site_fract_y
_atom_site_fract_z
Y1 0.0000 0.0000 0.0000
Be1 0.0000 0.0000 0.5000
Pt1 0.0000 0.5000 0.1941
```

Raw total energy = -50.7 eV per cell
Spin magnetization = 0.00 μB/cell
Calculated density = 11613 kg/m³
Volume = 69.8 Å³/f.u.


8.
First-principles (PBE) data for an optimized crystal structure of YBePt2, as listed in Alexandria via LeMat-Bulk.

CIF file:
```
data_YBePt2
_chemical_formula_sum 'Y1 Be1 Pt2'
_space_group_name_H-M_alt 'P 1 m 1'
_space_group_IT_number 6
_space_group_name_Hall 'P -2y'
_cell_length_a 3.8211
_cell_length_b 3.8873
_cell_length_c 5.1949
_cell_angle_alpha 90.00
_cell_angle_beta 111.28
_cell_angle_gamma 90.00
loop_
_atom_site_label
_atom_site_fract_x
_atom_site_fract_y
_atom_site_fract_z
Y1 0.0000 0.0000 0.0000
Be1 0.6044 0.5000 0.2116
Pt1 0.3667 0.5000 0.7310
Pt2 0.7155 0.0000 0.4359
```

Raw total energy = -25.1 eV per cell
Spin magnetization = 0.00 μB/cell
Calculated density = 11272 kg/m³
Volume = 71.9 Å³/f.u.


9.
First-principles (PBE) data for an optimized crystal structure of YBe3Pt, as listed in Alexandria via LeMat-Bulk.

CIF file:
```
data_YBe3Pt
_chemical_formula_sum 'Y1 Be3 Pt1'
_space_group_name_H-M_alt 'P m -3 m'
_space_group_IT_number 221
_space_group_name_Hall '-P 4 2 3'
_cell_length_a 4.5953
_cell_length_b 4.5953
_cell_length_c 4.5953
_cell_angle_alpha 90.00
_cell_angle_beta 90.00
_cell_angle_gamma 90.00
loop_
_atom_site_label
_atom_site_fract_x
_atom_site_fract_y
_atom_site_fract_z
Y1 0.0000 0.0000 0.0000
Be1 0.0000 0.0000 0.5000
Pt1 0.5000 0.5000 0.5000
```

Relative energy among the computed polymorphs = 2.437 eV per atom
Raw total energy = -13.1 eV per cell
Spin magnetization = 0.95 μB/cell
Calculated density = 5322 kg/m³
Volume = 97.0 Å³/f.u.


10.
First-principles (PBE) data for an optimized crystal structure of YBePt2, as listed in Alexandria via LeMat-Bulk.

CIF file:
```
data_YBePt2
_chemical_formula_sum 'Y4 Be4 Pt8'
_space_group_name_H-M_alt 'F -4 3 m'
_space_group_IT_number 216
_space_group_name_Hall 'F -4 2 3'
_cell_length_a 6.5120
_cell_length_b 6.5120
_cell_length_c 6.5120
_cell_angle_alpha 90.00
_cell_angle_beta 90.00
_cell_angle_gamma 90.00
loop_
_atom_site_label
_atom_site_fract_x
_atom_site_fract_y
_atom_site_fract_z
Y1 0.0000 0.0000 0.0000
Be1 0.2500 0.2500 0.2500
Pt1 0.0000 0.0000 0.5000
Pt2 0.2500 0.2500 0.7500
```

Raw total energy = -96.2 eV per cell
Spin magnetization = 0.00 μB/cell
Calculated density = 11740 kg/m³
Volume = 69.0 Å³/f.u.


11.
First-principles (PBE) data for an optimized crystal structure of Y3BePt, as listed in Alexandria via LeMat-Bulk.

CIF file:
```
data_Y3BePt
_chemical_formula_sum 'Y3 Be1 Pt1'
_space_group_name_H-M_alt 'P m -3 m'
_space_group_IT_number 221
_space_group_name_Hall '-P 4 2 3'
_cell_length_a 5.3927
_cell_length_b 5.3927
_cell_length_c 5.3927
_cell_angle_alpha 90.00
_cell_angle_beta 90.00
_cell_angle_gamma 90.00
loop_
_atom_site_label
_atom_site_fract_x
_atom_site_fract_y
_atom_site_fract_z
Y1 0.0000 0.0000 0.5000
Be1 0.5000 0.5000 0.5000
Pt1 0.0000 0.0000 0.0000
```

Relative energy among the computed polymorphs = 0.000 eV per atom
Raw total energy = -28.7 eV per cell
Spin magnetization = 0.00 μB/cell
Calculated density = 4985 kg/m³
Volume = 156.8 Å³/f.u.


12.
First-principles (PBE) data for an optimized crystal structure of YBePt2, as listed in Alexandria via LeMat-Bulk.

CIF file:
```
data_YBePt2
_chemical_formula_sum 'Y2 Be2 Pt4'
_space_group_name_H-M_alt 'C m m m'
_space_group_IT_number 65
_space_group_name_Hall '-C 2 2'
_cell_length_a 5.8772
_cell_length_b 6.2895
_cell_length_c 3.6876
_cell_angle_alpha 90.00
_cell_angle_beta 90.00
_cell_angle_gamma 90.00
loop_
_atom_site_label
_atom_site_fract_x
_atom_site_fract_y
_atom_site_fract_z
Y1 0.0000 0.0000 0.0000
Be1 0.0000 0.5000 0.0000
Pt1 0.2500 0.2500 0.5000
```

Raw total energy = -49.6 eV per cell
Spin magnetization = 0.00 μB/cell
Calculated density = 11892 kg/m³
Volume = 68.2 Å³/f.u.